1.
{
  "formula": "Ca2YMgSe4",
  "functional": "PBE",
  "state": "optimized geometry",
  "lattice_angstrom": [[7.116, 0.000, 0.000], [0.000, 4.081, 0.000], [-2.389, 0.000, 6.740]],
  "species": ["Ca", "Ca", "Y", "Mg", "Se", "Se", "Se", "Se"],
  "frac_coords": [[0.000, 0.000, 0.000], [0.000, 0.500, 0.500], [0.500, 0.000, 0.500], [0.500, 0.500, 0.000], [0.259, 0.500, 0.247], [0.268, 0.000, 0.763], [0.732, 0.000, 0.237], [0.741, 0.500, 0.753]],
  "formation_energy_uncorrected_ev_per_atom": -1.725,
  "magmom_total_mub_per_fu": 0.00
}

---

2.
{
  "formula": "Pa3Ge4Pd2",
  "functional": "PBE",
  "state": "optimized geometry",
  "lattice_angstrom": [[5.290, -2.181, 0.000], [5.290, 2.181, 0.000], [-2.300, 0.000, 7.969]],
  "species": ["Pa", "Pa", "Pa", "Ge", "Ge", "Ge", "Ge", "Pd", "Pd"],
  "frac_coords": [[0.000, 0.000, 0.000], [0.339, 0.339, 0.325], [0.661, 0.661, 0.675], [0.064, 0.064, 0.394], [0.282, 0.282, 0.948], [0.718, 0.718, 0.052], [0.936, 0.936, 0.606], [0.376, 0.376, 0.706], [0.624, 0.624, 0.294]],
  "ef_mev_per_atom": -562,
  "magmom_total_mub_per_fu": 0.00,
  "de_polymorph_ev_per_atom": 0.0000
}

---

3.
{
  "formula": "NaTlCdPd",
  "functional": "PBE",
  "state": "optimized geometry",
  "lattice_angstrom": [[0.000, 3.468, 3.468], [3.468, 0.000, 3.468], [3.468, 3.468, 0.000]],
  "species": ["Na", "Tl", "Cd", "Pd"],
  "frac_coords": [[0.000, 0.000, 0.000], [0.750, 0.750, 0.750], [0.250, 0.250, 0.250], [0.500, 0.500, 0.500]],
  "ef_mev_per_atom": -168,
  "magmom_total_mub_per_fu": 0.00
}

---

4.
{
  "formula": "Ga2CuOsO8",
  "functional": "PBE",
  "state": "optimized geometry",
  "lattice_angstrom": [[3.345, -3.155, 0.000], [3.345, 3.155, 0.000], [-0.149, 0.000, 6.101]],
  "species": ["Ga", "Ga", "Cu", "Os", "O", "O", "O", "O", "O", "O", "O", "O"],
  "frac_coords": [[0.011, 0.011, 0.261], [0.989, 0.989, 0.739], [0.500, 0.500, 0.500], [0.500, 0.500, 0.000], [0.197, 0.803, 0.000], [0.199, 0.801, 0.500], [0.299, 0.299, 0.788], [0.318, 0.318, 0.236], [0.682, 0.682, 0.764], [0.701, 0.701, 0.212], [0.801, 0.199, 0.500], [0.803, 0.197, 0.000]],
  "formation_energy_uncorrected_ev_per_atom": -1.116,
  "magmom_total_mub_per_fu": 0.67
}

---

5.
{
  "formula": "BeHgAs",
  "functional": "PBE",
  "state": "optimized geometry",
  "lattice_angstrom": [[0.000, 3.022, 3.022], [3.022, 0.000, 3.022], [3.022, 3.022, 0.000]],
  "species": ["Be", "Hg", "As"],
  "frac_coords": [[0.000, 0.000, 0.000], [0.250, 0.250, 0.250], [0.750, 0.750, 0.750]],
  "ef_mev_per_atom": 292,
  "magmom_total_mub_per_fu": 0.00,
  "de_polymorph_ev_per_atom": 0.2418
}

---

6.
{
  "formula": "Ac8Ge3IrS4",
  "functional": "PBE",
  "state": "optimized geometry",
  "lattice_angstrom": [[4.465, 2.578, 7.274], [-4.465, 2.578, 7.274], [0.000, -5.156, 7.274]],
  "species": ["Ac", "Ac", "Ac", "Ac", "Ac", "Ac", "Ac", "Ac", "Ge", "Ge", "Ge", "Ir", "S", "S", "S", "S"],
  "frac_coords": [[0.243, 0.243, 0.754], [0.243, 0.754, 0.243], [0.246, 0.757, 0.757], [0.249, 0.249, 0.249], [0.751, 0.751, 0.751], [0.754, 0.243, 0.243], [0.757, 0.246, 0.757], [0.757, 0.757, 0.246], [0.000, 0.500, 0.500], [0.500, 0.000, 0.500], [0.500, 0.500, 0.000], [0.000, 0.000, 0.000], [0.000, 0.000, 0.500], [0.000, 0.500, 0.000], [0.500, 0.000, 0.000], [0.500, 0.500, 0.500]],
  "formation_energy_uncorrected_ev_per_atom": -1.352,
  "magmom_total_mub_per_fu": 0.00
}

---

7.
{
  "formula": "CuHPd2Se",
  "functional": "PBE",
  "state": "optimized geometry",
  "lattice_angstrom": [[4.233, 0.000, 0.000], [0.000, 4.233, 0.000], [0.000, 0.000, 3.598]],
  "species": ["Cu", "H", "Pd", "Pd", "Se"],
  "frac_coords": [[0.000, 0.000, 0.000], [0.000, 0.000, 0.500], [0.000, 0.500, 0.500], [0.500, 0.000, 0.500], [0.500, 0.500, 0.000]],
  "dft_energy_ev_per_atom": -4.293,
  "magmom_total_mub_per_fu": 0.00
}

---

8.
{
  "formula": "CaZr2Ti",
  "functional": "PBE",
  "state": "optimized geometry",
  "lattice_angstrom": [[1.596, 0.921, 11.039], [-1.596, 0.921, 11.039], [0.000, -1.843, 11.039]],
  "species": ["Ca", "Zr", "Zr", "Ti"],
  "frac_coords": [[0.000, 0.000, 0.000], [0.095, 0.095, 0.095], [0.905, 0.905, 0.905], [0.500, 0.500, 0.500]],
  "ef_mev_per_atom": 334,
  "magmom_total_mub_per_fu": 0.00,
  "de_polymorph_ev_per_atom": 0.0000
}

---

9.
{
  "formula": "SmHo14Tm",
  "functional": "PBE",
  "state": "optimized geometry",
  "lattice_angstrom": [[11.390, 0.000, 0.000], [0.000, 3.543, 6.136], [0.000, -3.543, 6.136]],
  "species": ["Sm", "Ho", "Ho", "Ho", "Ho", "Ho", "Ho", "Ho", "Ho", "Ho", "Ho", "Ho", "Ho", "Ho", "Ho", "Tm"],
  "frac_coords": [[0.000, 0.000, 0.000], [0.000, 0.000, 0.500], [0.000, 0.500, 0.000], [0.249, 0.667, 0.667], [0.251, 0.167, 0.167], [0.251, 0.167, 0.666], [0.251, 0.666, 0.167], [0.500, 0.334, 0.334], [0.500, 0.334, 0.834], [0.500, 0.834, 0.334], [0.500, 0.834, 0.834], [0.749, 0.167, 0.167], [0.749, 0.167, 0.666], [0.749, 0.666, 0.167], [0.751, 0.667, 0.667], [0.000, 0.500, 0.500]],
  "ef_mev_per_atom": 5,
  "magmom_total_mub_per_fu": 0.00
}

---

10.
{
  "formula": "AgSe2Cl",
  "functional": "PBE",
  "state": "optimized geometry",
  "lattice_angstrom": [[2.057, -3.734, 0.000], [2.057, 3.734, 0.000], [0.000, 0.000, 7.603]],
  "species": ["Ag", "Se", "Se", "Cl"],
  "frac_coords": [[0.000, 0.000, 0.000], [0.000, 0.000, 0.441], [0.500, 0.500, 0.271], [0.500, 0.500, 0.816]],
  "formation_energy_uncorrected_ev_per_atom": 0.001,
  "magmom_total_mub_per_fu": 0.00,
  "de_polymorph_ev_per_atom": 0.1898
}

---

11.
{
  "formula": "SrMgIn2",
  "functional": "PBE",
  "state": "optimized geometry",
  "lattice_angstrom": [[3.533, -3.574, 0.000], [3.533, 3.574, 0.000], [-0.024, 0.000, 4.505]],
  "species": ["Sr", "Mg", "In", "In"],
  "frac_coords": [[0.000, 0.000, 0.000], [0.500, 0.500, 0.000], [0.000, 0.500, 0.500], [0.500, 0.000, 0.500]],
  "ef_mev_per_atom": -246,
  "magmom_total_mub_per_fu": 0.00
}

---

12.
{
  "formula": "LiV3Rh7",
  "functional": "PBE",
  "state": "optimized geometry",
  "lattice_angstrom": [[4.487, -4.624, 0.000], [4.487, 4.624, 0.000], [-2.185, 0.000, 3.880]],
  "species": ["Li", "V", "V", "V", "Rh", "Rh", "Rh", "Rh", "Rh", "Rh", "Rh"],
  "frac_coords": [[0.000, 0.000, 0.000], [0.270, 0.730, 0.500], [0.500, 0.500, 0.000], [0.730, 0.270, 0.500], [0.000, 0.000, 0.500], [0.112, 0.494, 0.803], [0.320, 0.320, 0.321], [0.494, 0.112, 0.803], [0.506, 0.888, 0.197], [0.680, 0.680, 0.679], [0.888, 0.506, 0.197]],
  "ef_mev_per_atom": -61,
  "magmom_total_mub_per_fu": 0.00
}